Entry from Alexandria: a geometry-optimized Ac2LaHg2 structure (PBE).

Cell: 4.2512 7.6928 11.0073 Å, 90.00 90.00 90.00°
Space group Immm (No. 71)
Inequivalent atoms, fractional coordinates:
Ac1 0.0000 0.0000 0.2058 x4
La1 0.0000 0.5000 0.0000 x2
Hg1 0.0000 0.3012 0.5000 x4

Calculated values
Energy   -3.064 eV/atom
Magnetic moment   0.00 μB/f.u.
ΔE_f   -1.6 eV per formula unit
DOS(E_F)   10.92 states/eV per cell
Energy relative to the lowest polymorph listed for this composition   0 meV/atom